Entry 1:
Computed, not measured: crystalline GdDyHgRu at its relaxed geometry at the GGA-PBE level of DFT.

Unit cell a=7.1448 b=7.1448 c=7.1448 alpha=90.00 beta=90.00 gamma=90.00
With the nearest neighbours (Å) after each atom.
Fractional positions:
Gd  0.0000  0.0000  0.0000  4 Hg 3.09, 4 Ru 3.09
Gd  0.0000  0.5000  0.5000  4 Hg 3.09, 4 Ru 3.09
Gd  0.5000  0.0000  0.5000  4 Hg 3.09, 4 Ru 3.09
Gd  0.5000  0.5000  0.0000  4 Hg 3.09, 4 Ru 3.09
Dy  0.0000  0.0000  0.5000  4 Ru 3.09, 4 Hg 3.09
Dy  0.0000  0.5000  0.0000  4 Hg 3.09, 4 Ru 3.09
Dy  0.5000  0.0000  0.0000  4 Hg 3.09, 4 Ru 3.09
Dy  0.5000  0.5000  0.5000  4 Ru 3.09, 4 Hg 3.09
Hg  0.2500  0.2500  0.2500  4 Gd 3.09, 4 Dy 3.09
Hg  0.2500  0.7500  0.7500  4 Gd 3.09, 4 Dy 3.09
Hg  0.7500  0.2500  0.7500  4 Gd 3.09, 4 Dy 3.09
Hg  0.7500  0.7500  0.2500  4 Gd 3.09, 4 Dy 3.09
Ru  0.2500  0.2500  0.7500  4 Gd 3.09, 4 Dy 3.09
Ru  0.2500  0.7500  0.2500  4 Gd 3.09, 4 Dy 3.09
Ru  0.7500  0.2500  0.2500  4 Gd 3.09, 4 Dy 3.09
Ru  0.7500  0.7500  0.7500  4 Dy 3.09, 4 Gd 3.09

Crystal system: cubic
Energy of formation from the pure elements in eV per formula unit: -1.4

---

Entry 2:
Computed, not measured: crystalline GdDyHgSb at its relaxed geometry at the GGA-PBE level of DFT.

Unit cell a=7.5298 b=7.5298 c=7.5298 alpha=90.00 beta=90.00 gamma=90.00
With the nearest neighbours (Å) after each atom.
Fractional positions:
Gd  0.0000  0.0000  0.0000  4 Sb 3.26, 4 Hg 3.26
Gd  0.0000  0.5000  0.5000  4 Sb 3.26, 4 Hg 3.26
Gd  0.5000  0.0000  0.5000  4 Sb 3.26, 4 Hg 3.26
Gd  0.5000  0.5000  0.0000  4 Sb 3.26, 4 Hg 3.26
Dy  0.0000  0.0000  0.5000  4 Hg 3.26, 4 Sb 3.26
Dy  0.0000  0.5000  0.0000  4 Hg 3.26, 4 Sb 3.26
Dy  0.5000  0.0000  0.0000  4 Hg 3.26, 4 Sb 3.26
Dy  0.5000  0.5000  0.5000  4 Hg 3.26, 4 Sb 3.26
Hg  0.2500  0.2500  0.2500  4 Gd 3.26, 4 Dy 3.26
Hg  0.2500  0.7500  0.7500  4 Gd 3.26, 4 Dy 3.26
Hg  0.7500  0.2500  0.7500  4 Gd 3.26, 4 Dy 3.26
Hg  0.7500  0.7500  0.2500  4 Gd 3.26, 4 Dy 3.26
Sb  0.2500  0.2500  0.7500  4 Dy 3.26, 4 Gd 3.26
Sb  0.2500  0.7500  0.2500  4 Dy 3.26, 4 Gd 3.26
Sb  0.7500  0.2500  0.2500  4 Dy 3.26, 4 Gd 3.26
Sb  0.7500  0.7500  0.7500  4 Dy 3.26, 4 Gd 3.26

Crystal system: cubic
VASP energy in eV/atom: -6.41